The following is a PBE-GGA calculation of an optimized crystal structure of Mg2CrCd, from Alexandria.

## Properties
calculated volume = 22.154 Å³/atom
DFT formation energy = 488 meV/atom

Cell lengths 6.2396, 6.2396, 6.2396 Å; angles 102.54, 102.54, 124.46 degrees
With the nearest neighbours (Å) after each atom.
Element x y z (fractional)
Mg 0.1232 0.6250 0.9982  2 Cr 2.84, 2 Cd 2.86, 2 Mg 2.91
Mg 0.3750 0.3732 0.4982  2 Cr 2.84, 2 Cd 2.86, 2 Mg 2.91
Mg 0.6268 0.1250 0.0018  2 Cr 2.84, 2 Cd 2.86, 2 Mg 2.91
Mg 0.8750 0.8768 0.5018  2 Cr 2.84, 2 Cd 2.86, 2 Mg 2.91
Cr 0.0000 0.0000 0.0000  4 Mg 2.84, 2 Cd 2.91
Cr 0.7500 0.2500 0.5000  4 Mg 2.84, 2 Cd 2.91
Cd 0.2500 0.7500 0.5000  4 Mg 2.86, 2 Cr 2.91
Cd 0.5000 0.5000 0.0000  4 Mg 2.86, 2 Cr 2.91

---

The following is a PBE-GGA calculation of an optimized crystal structure of YRhW2, from Alexandria.

## Properties
calculated volume = 18.215 Å³/atom
DFT formation energy = 178 meV/atom
polymorph energy (0 for the lowest one) = 12.4 kJ/mol of atoms

Cell lengths 5.8797, 5.8797, 5.8797 Å; angles 149.61, 134.50, 55.70 degrees
With the nearest neighbours (Å) after each atom.
Element x y z (fractional)
Y 0.0000 0.0000 0.0000  4 Rh 2.75
Rh 0.5000 0.5000 0.0000  4 Y 2.75, 4 W 2.85
W 0.2689 0.7689 0.5000  6 W 2.77-3.08, 2 Rh 2.85
W 0.7311 0.2311 0.5000  6 W 2.77-3.08, 2 Rh 2.85

---

The following is a PBE-GGA calculation of an optimized crystal structure of ErTm2ScO6, from Alexandria.

## Properties
calculated volume = 13.555 Å³/atom
uncorrected formation energy = -3580 meV/atom

Cell lengths 5.9115, 5.9115, 5.9115 Å; angles 56.88, 56.88, 56.88 degrees
With the nearest neighbours (Å) after each atom.
Element x y z (fractional)
Er 0.0000 0.0000 0.0000  6 O 2.19-2.35
Tm 0.2817 0.2817 0.2817  6 O 2.22-2.31
Tm 0.7839 0.7839 0.7839  6 O 2.20-2.32
Sc 0.4953 0.4953 0.4953  6 O 2.11-2.22
O 0.1061 0.6822 0.3908  1 Er 2.19, 2 Tm 2.20-2.31, 1 Sc 2.22
O 0.2011 0.5984 0.8721  1 Sc 2.11, 2 Tm 2.22-2.32, 1 Er 2.35
O 0.3908 0.1061 0.6822  1 Er 2.19, 2 Tm 2.20-2.31, 1 Sc 2.22
O 0.5984 0.8721 0.2011  1 Sc 2.11, 2 Tm 2.22-2.32, 1 Er 2.35
O 0.6822 0.3908 0.1061  1 Er 2.19, 2 Tm 2.20-2.31, 1 Sc 2.22
O 0.8721 0.2011 0.5984  1 Sc 2.11, 2 Tm 2.22-2.32, 1 Er 2.35

---

The following is a PBE-GGA calculation of an optimized crystal structure of Cu2Ag, from Alexandria.

## Properties
calculated volume = 14.061 Å³/atom
DFT formation energy = 63 meV/atom
polymorph energy (0 for the lowest one) = 0.1 kJ/mol of atoms

Cell lengths 4.9480, 4.9480, 7.9580 Å; angles 90.00, 90.00, 120.00 degrees
With the nearest neighbours (Å) after each atom.
Element x y z (fractional)
Cu 0.0000 0.0000 0.0000  6 Cu 2.46
Cu 0.0000 0.0000 0.5000  6 Cu 2.46
Cu 0.1688 0.3375 0.2500  6 Cu 2.44-2.51
Cu 0.1688 0.8312 0.2500  6 Cu 2.44-2.51
Cu 0.3375 0.1688 0.7500  6 Cu 2.44-2.51
Cu 0.6625 0.8312 0.2500  6 Cu 2.44-2.51
Cu 0.8312 0.1688 0.7500  6 Cu 2.44-2.51
Cu 0.8312 0.6625 0.7500  6 Cu 2.44-2.51
Ag 0.3333 0.6667 0.5617  12 Cu 2.85-2.90, 4 Ag 3.00-3.02
Ag 0.3333 0.6667 0.9383  12 Cu 2.85-2.90, 4 Ag 3.00-3.02
Ag 0.6667 0.3333 0.0617  12 Cu 2.85-2.90, 4 Ag 3.00-3.02
Ag 0.6667 0.3333 0.4383  12 Cu 2.85-2.90, 4 Ag 3.00-3.02

---

no.,spin magnetization (μB/atom),uncorrected energy (eV per atom)
1,1.012,-2.944
2,0.000,-9.752
3,0.000,-8.538
4,0.000,-3.619